Below is a PBEsol-optimized structure of Zn3CdSn, with properties calculated at the SCAN level.

Cell: 5.1191 5.1191 5.1191 Å, 90.00 90.00 90.00°
Atoms (fractional coordinates):
Zn (0.0000, 0.0000, 0.5000)
Zn (0.0000, 0.5000, 0.0000)
Zn (0.5000, 0.0000, 0.0000)
Cd (0.5000, 0.5000, 0.5000)
Sn (0.0000, 0.0000, 0.0000)

- E_form (eV per atom) = 0.546
- crystal system = cubic
- uncorrected energy (eV for the cell shown) = -104.1
- calculated volume (Å³/f.u.) = 134.1
- space-group type = Pm-3m
- total magnetization (μB per formula unit) = 0.00
- energy above the most stable polymorph in this dataset (eV/atom) = 0.000

Below is a PBEsol-optimized structure of Tl2TcRu, with properties calculated at the SCAN level.

Cell: 3.1002 4.5413 5.1055 Å, 90.00 90.00 90.00°
Atoms (fractional coordinates):
Tl (0.0000, 0.0000, 0.0000)
Tl (0.5000, 0.0000, 0.5000)
Tc (0.0000, 0.5000, 0.5000)
Ru (0.5000, 0.5000, 0.0000)

- E_form (eV per atom) = 0.858
- crystal system = orthorhombic
- uncorrected energy (eV for the cell shown) = -211.2
- calculated volume (Å³/f.u.) = 71.9
- space-group type = Pmmm
- total magnetization (μB per formula unit) = 1.73
- energy above the most stable polymorph in this dataset (eV/atom) = 0.455

Below is a PBEsol-optimized structure of BaTe3, with properties calculated at the SCAN level.

Cell: 5.7136 5.7136 4.4533 Å, 90.00 90.00 90.00°
Atoms (fractional coordinates):
Ba (0.0000, 0.0000, 0.0000)
Te (0.0000, 0.5000, 0.4986)
Te (0.5000, 0.0000, 0.4986)
Te (0.5000, 0.5000, 0.6795)

- uncorrected formation energy (meV per atom) = -986
- crystal system = tetragonal
- uncorrected energy (eV for the cell shown) = -155.2
- calculated volume (Å³/f.u.) = 145.4
- space-group type = P4mm
- total magnetization (μB per formula unit) = 0.00